No. 1
Here is an optimized crystal structure of BaHgTeO from the Open Quantum Materials Database. Energies are from GGA-PBE.

Cell lengths 4.1219, 13.7955, 8.0281 Å; angles 90.00, 90.00, 90.00 degrees
Positions (direct):
Ba: 0.0000 0.0619 0.0000
Ba: 0.0000 0.9381 0.5000
Ba: 0.5000 0.4381 0.5000
Ba: 0.5000 0.5619 0.0000
Hg: 0.0000 0.3270 0.1499
Hg: 0.0000 0.6730 0.6499
Hg: 0.5000 0.1730 0.6499
Hg: 0.5000 0.8270 0.1499
Te: 0.0000 0.3186 0.7892
Te: 0.0000 0.6814 0.2892
Te: 0.5000 0.1814 0.2892
Te: 0.5000 0.8186 0.7892
O: 0.0000 0.0790 0.6905
O: 0.0000 0.9210 0.1905
O: 0.5000 0.4210 0.1905
O: 0.5000 0.5790 0.6905

Results
- E above lowest polymorph: 0.322 eV per atom
- Space-group type: Cmc2_1, No. 36

=====

No. 2
Here is an optimized crystal structure of La2PrCd3Ir2Pt from the Open Quantum Materials Database. Energies are from GGA-PBE.

Cell lengths 4.1196, 7.6720, 7.6720 Å; angles 120.55, 90.00, 90.00 degrees
Positions (direct):
La: 0.0000 0.2063 0.7937
La: 0.0000 0.7937 0.2063
Pr: 0.0000 0.6189 0.6189
Cd: 0.5000 0.2102 0.4574
Cd: 0.5000 0.4574 0.2102
Cd: 0.5000 0.9554 0.9554
Ir: 0.5000 0.5420 0.8794
Ir: 0.5000 0.8794 0.5420
Pt: 0.0000 0.2081 0.2081

Results
- E_tot: -5.21 eV per atom
- Space-group type: Amm2, No. 38

=====

No. 3
Here is an optimized crystal structure of TbYTe2 from the Open Quantum Materials Database. Energies are from GGA-PBE.

Cell lengths 7.6676, 7.6676, 4.0651 Å; angles 90.00, 90.00, 90.00 degrees
Positions (direct):
Tb: 0.0000 0.0000 0.0000
Tb: 0.5000 0.5000 0.0000
Y: 0.0000 0.5000 0.1763
Y: 0.5000 0.0000 0.8237
Te: 0.2166 0.2834 0.6683
Te: 0.2834 0.7834 0.3317
Te: 0.7166 0.2166 0.3317
Te: 0.7834 0.7166 0.6683

Results
- E above lowest polymorph: 0.186 eV per atom
- Space-group type: P-42_1m, No. 113

=====

No. 4
Here is an optimized crystal structure of DyHoCu2Si2 from the Open Quantum Materials Database. Energies are from GGA-PBE.

Cell lengths 4.1466, 4.1466, 7.4592 Å; angles 90.00, 90.00, 120.00 degrees
Positions (direct):
Dy: 0.0000 0.0000 0.0000
Ho: 0.0000 0.0000 0.4999
Cu: 0.3333 0.6667 0.2610
Cu: 0.6667 0.3333 0.7535
Si: 0.3333 0.6667 0.7436
Si: 0.6667 0.3333 0.2472

Results
- E_tot: -5.25 eV per atom
- Space-group type: P3m1, No. 156

=====

No. 5
Here is an optimized crystal structure of SnPd from the Open Quantum Materials Database. Energies are from GGA-PBE.

Cell lengths 6.0204, 6.0204, 6.0204 Å; angles 90.00, 90.00, 90.00 degrees
Positions (direct):
Sn: 0.0000 0.0000 0.0000
Sn: 0.0000 0.5000 0.5000
Sn: 0.5000 0.0000 0.5000
Sn: 0.5000 0.5000 0.0000
Pd: 0.2500 0.2500 0.2500
Pd: 0.2500 0.7500 0.7500
Pd: 0.7500 0.2500 0.7500
Pd: 0.7500 0.7500 0.2500

Results
- E_tot: -4.63 eV per atom
- Space-group type: F-43m, No. 216

=====

No. 6
Here is an optimized crystal structure of PmTa3C from the Open Quantum Materials Database. Energies are from GGA-PBE.

Cell lengths 4.4785, 4.4785, 4.4785 Å; angles 90.00, 90.00, 90.00 degrees
Positions (direct):
Pm: 0.0000 0.0000 0.0000
Ta: 0.0000 0.5000 0.5000
Ta: 0.5000 0.0000 0.5000
Ta: 0.5000 0.5000 0.0000
C: 0.5000 0.5000 0.5000

Results
- E_tot: -9.74 eV per atom
- Space-group type: Pm-3m, No. 221

=====

No. 7
Here is an optimized crystal structure of TmFeCo from the Open Quantum Materials Database. Energies are from GGA-PBE.

Cell lengths 5.0287, 5.1660, 7.0212 Å; angles 90.00, 90.00, 90.00 degrees
Positions (direct):
Tm: 0.0000 0.2500 0.1255
Tm: 0.0000 0.7500 0.8745
Tm: 0.5000 0.2500 0.3745
Tm: 0.5000 0.7500 0.6255
Fe: 0.2500 0.2500 0.7500
Fe: 0.2500 0.7500 0.2500
Fe: 0.7500 0.2500 0.7500
Fe: 0.7500 0.7500 0.2500
Co: 0.0000 0.0000 0.5000
Co: 0.0000 0.5000 0.5000
Co: 0.5000 0.0000 0.0000
Co: 0.5000 0.5000 0.0000

Results
- E_tot: -6.85 eV per atom
- Space-group type: Imma, No. 74

=====

No. 8
Here is an optimized crystal structure of PrGeH2O4 from the Open Quantum Materials Database. Energies are from GGA-PBE.

Cell lengths 6.2946, 6.2285, 7.3718 Å; angles 54.36, 53.52, 72.12 degrees
Positions (direct):
Pr: 0.0000 0.0000 0.0000
Pr: 0.2500 0.2500 0.2500
Ge: 0.5294 0.5294 0.4706
Ge: 0.7794 0.7794 0.7206
H: 0.1428 0.5789 0.8275
H: 0.4225 0.7993 0.1072
H: 0.5789 0.1428 0.4507
H: 0.7993 0.4225 0.6711
O: 0.0200 0.8857 0.7252
O: 0.2376 0.4080 0.8597
O: 0.3903 0.7553 0.0124
O: 0.4080 0.2376 0.4947
O: 0.5248 0.8809 0.2300
O: 0.7553 0.3903 0.8420
O: 0.8809 0.5248 0.3643
O: 0.8857 0.0200 0.3691

Results
- E above lowest polymorph: 0.000 eV per atom
- Space-group type: Fdd2, No. 43

=====

No. 9
Here is an optimized crystal structure of NiAsPdAu from the Open Quantum Materials Database. Energies are from GGA-PBE.

Cell lengths 6.2699, 6.2699, 6.2699 Å; angles 90.00, 90.00, 90.00 degrees
Positions (direct):
Ni: 0.0000 0.0000 0.0000
Ni: 0.0000 0.5000 0.5000
Ni: 0.5000 0.0000 0.5000
Ni: 0.5000 0.5000 0.0000
As: 0.2500 0.2500 0.7500
As: 0.2500 0.7500 0.2500
As: 0.7500 0.2500 0.2500
As: 0.7500 0.7500 0.7500
Pd: 0.0000 0.0000 0.5000
Pd: 0.0000 0.5000 0.0000
Pd: 0.5000 0.0000 0.0000
Pd: 0.5000 0.5000 0.5000
Au: 0.2500 0.2500 0.2500
Au: 0.2500 0.7500 0.7500
Au: 0.7500 0.2500 0.7500
Au: 0.7500 0.7500 0.2500

Results
- E_tot: -4.69 eV per atom
- Space-group type: F-43m, No. 216

=====

No. 10
Here is an optimized crystal structure of KHfCuTeSe2 from the Open Quantum Materials Database. Energies are from GGA-PBE.

Cell lengths 8.3985, 3.9499, 10.4024 Å; angles 90.00, 112.54, 90.00 degrees
Positions (direct):
K: 0.2483 0.2500 0.2287
K: 0.7517 0.7500 0.7713
Hf: 0.1888 0.7500 0.6594
Hf: 0.8112 0.2500 0.3406
Cu: 0.4186 0.2500 0.8979
Cu: 0.5814 0.7500 0.1021
Te: 0.2408 0.7500 0.9459
Te: 0.7592 0.2500 0.0541
Se: 0.0521 0.7500 0.3757
Se: 0.4049 0.2500 0.6577
Se: 0.5951 0.7500 0.3423
Se: 0.9479 0.2500 0.6243

Results
- E above lowest polymorph: 0.000 eV per atom
- Space-group type: P2_1/m, No. 11

=====

No. 11
Here is an optimized crystal structure of LiNbSO from the Open Quantum Materials Database. Energies are from GGA-PBE.

Cell lengths 5.1256, 5.1362, 9.0034 Å; angles 90.00, 106.25, 90.00 degrees
Positions (direct):
Li: 0.0398 0.0000 0.1008
Li: 0.4389 0.9915 0.8752
Li: 0.5611 0.4915 0.1248
Li: 0.9602 0.5000 0.8992
Nb: 0.0035 0.7935 0.3950
Nb: 0.3927 0.1795 0.3945
Nb: 0.6073 0.6795 0.6055
Nb: 0.9965 0.2935 0.6050
S: 0.0899 0.4883 0.1764
S: 0.4116 0.4871 0.8243
S: 0.5884 0.9871 0.1757
S: 0.9101 0.9883 0.8236
O: 0.2498 0.4866 0.4990
O: 0.2912 0.9866 0.5840
O: 0.7088 0.4866 0.4160
O: 0.7502 0.9866 0.5010

Results
- E above lowest polymorph: 0.222 eV per atom
- Space-group type: P2_1, No. 4

=====

No. 12
Here is an optimized crystal structure of SrIn3GaIr from the Open Quantum Materials Database. Energies are from GGA-PBE.

Cell lengths 8.8810, 4.2218, 7.5849 Å; angles 90.00, 90.00, 90.00 degrees
Positions (direct):
Sr: 0.2500 0.0000 0.1195
Sr: 0.7500 0.0000 0.8805
In: 0.0000 0.0000 0.5000
In: 0.0658 0.5000 0.8111
In: 0.4342 0.5000 0.8111
In: 0.5000 0.0000 0.5000
In: 0.5658 0.5000 0.1889
In: 0.9342 0.5000 0.1889
Ga: 0.2500 0.5000 0.4562
Ga: 0.7500 0.5000 0.5438
Ir: 0.2500 0.0000 0.6809
Ir: 0.7500 0.0000 0.3191

Results
- E above lowest polymorph: 0.060 eV per atom
- Space-group type: Pmma, No. 51